A plane-wave DFT calculation with meta-GGA SCAN was carried out for a crystal of ReSi2Pb relaxed with PBEsol.

Unit cell a=6.476 b=6.476 c=6.476 alpha=90.00 beta=90.00 gamma=90.00
Space group F-43m (No. 216)
Unique sites:
Re (0.000, 0.000, 0.000)
Si (0.000, 0.000, 0.500)
Si (0.250, 0.250, 0.750)
Pb (0.250, 0.250, 0.250)

## Properties
- raw formation energy (eV/atom) = 1.15
- spin magnetization (μB per atom) = 0.00
- crystal system = cubic
- ρ (g/cm3) = 10.99

A plane-wave DFT calculation with meta-GGA SCAN was carried out for a crystal of LiMgPb2 relaxed with PBEsol.

Unit cell a=9.636 b=3.456 c=5.923 alpha=90.00 beta=102.07 gamma=90.00
Space group C2/m (No. 12)
Unique sites:
Li (0.000, 0.000, 0.000)
Mg (0.000, 0.500, 0.500)
Pb (0.250, 0.000, 0.756)

## Properties
- energy relative to the elements (meV per atom) = -236
- spin magnetization (μB per atom) = 0.00
- crystal system = monoclinic
- ρ (g/cm3) = 7.67

A plane-wave DFT calculation with meta-GGA SCAN was carried out for a crystal of Li4TaTe relaxed with PBEsol.

Unit cell a=7.297 b=7.297 c=7.297 alpha=90.00 beta=90.00 gamma=90.00
Space group F-43m (No. 216)
Unique sites:
Li (0.123, 0.123, 0.377)
Ta (0.250, 0.250, 0.750)
Te (0.000, 0.000, 0.000)

## Properties
- raw formation energy (eV/atom) = 0.32
- spin magnetization (μB per atom) = 0.53
- crystal system = cubic
- ρ (g/cm3) = 5.75

A plane-wave DFT calculation with meta-GGA SCAN was carried out for a crystal of InSbSe3 relaxed with PBEsol.

Unit cell a=9.770 b=4.007 c=13.456 alpha=90.00 beta=90.00 gamma=90.00
Space group Pnma (No. 62)
Unique sites:
In (0.153, 0.250, 0.044)
Sb (0.025, 0.250, 0.644)
Se (0.001, 0.750, 0.121)
Se (0.159, 0.250, 0.471)
Se (0.191, 0.750, 0.710)

## Properties
- raw formation energy (eV/atom) = -0.42
- spin magnetization (μB per atom) = 0.00
- crystal system = orthorhombic
- ρ (g/cm3) = 5.97

A plane-wave DFT calculation with meta-GGA SCAN was carried out for a crystal of Ba2InSbSe5 relaxed with PBEsol.

Unit cell a=4.285 b=18.945 c=13.037 alpha=90.00 beta=90.00 gamma=90.00
Space group Cmc2_1 (No. 36)
Unique sites:
Ba (0.000, 0.114, 0.000)
Ba (0.000, 0.130, 0.377)
In (0.000, 0.439, 0.241)
Sb (0.000, 0.217, 0.666)
Se (0.000, 0.047, 0.626)
Se (0.000, 0.284, 0.024)
Se (0.000, 0.310, 0.321)
Se (0.000, 0.355, 0.686)
Se (0.000, 0.496, 0.913)

## Properties
- raw formation energy (eV/atom) = -1.33
- spin magnetization (μB per atom) = 0.00
- crystal system = orthorhombic
- ρ (g/cm3) = 5.69

A plane-wave DFT calculation with meta-GGA SCAN was carried out for a crystal of YInC2I relaxed with PBEsol.

Unit cell a=4.280 b=4.280 c=6.064 alpha=90.00 beta=90.00 gamma=90.00
Space group P4/mmm (No. 123)
Unique sites:
Y (0.000, 0.000, 0.000)
In (0.000, 0.000, 0.500)
C (0.000, 0.500, 0.500)
I (0.500, 0.500, 0.000)

## Properties
- raw formation energy (eV/atom) = 1.68
- spin magnetization (μB per atom) = 0.25
- crystal system = tetragonal
- ρ (g/cm3) = 5.30

A plane-wave DFT calculation with meta-GGA SCAN was carried out for a crystal of HfSe2F relaxed with PBEsol.

Unit cell a=2.9956 b=2.9956 c=27.6413 alpha=90.00 beta=90.00 gamma=120.00
Space group R-3m (No. 166, hexagonal axes)
Unique sites:
Hf (0.0000, 0.0000, 0.0000)
Se (0.0000, 0.0000, 0.0959)
F (0.0000, 0.0000, 0.5000)

## Properties
- raw formation energy (eV/atom) = 0.01
- spin magnetization (μB per atom) = 0.00
- crystal system = trigonal
- ρ (g/cm3) = 8.24

A plane-wave DFT calculation with meta-GGA SCAN was carried out for a crystal of BaScTl relaxed with PBEsol.

Unit cell a=7.600 b=7.600 c=7.600 alpha=90.00 beta=90.00 gamma=90.00
Space group F-43m (No. 216)
Unique sites:
Ba (0.000, 0.000, 0.000)
Sc (0.000, 0.000, 0.500)
Tl (0.250, 0.250, 0.250)

## Properties
- polymorph energy (0 for the lowest one) (meV/atom) = 492
- energy relative to the elements (meV per atom) = -18
- spin magnetization (μB per atom) = 0.06
- crystal system = cubic
- ρ (g/cm3) = 5.85

A plane-wave DFT calculation with meta-GGA SCAN was carried out for a crystal of TiTl2CdSe relaxed with PBEsol.

Unit cell a=5.722 b=5.722 c=4.971 alpha=90.00 beta=90.00 gamma=90.00
Space group P4/mmm (No. 123)
Unique sites:
Ti (0.000, 0.000, 0.000)
Tl (0.000, 0.500, 0.500)
Cd (0.500, 0.500, 0.000)
Se (0.500, 0.500, 0.500)

## Properties
- raw formation energy (eV/atom) = 0.71
- spin magnetization (μB per atom) = 0.56
- crystal system = tetragonal
- ρ (g/cm3) = 6.61

A plane-wave DFT calculation with meta-GGA SCAN was carried out for a crystal of NiBiO3 relaxed with PBEsol.

Unit cell a=5.487 b=7.518 c=5.311 alpha=90.00 beta=90.00 gamma=90.00
Space group Pnma (No. 62)
Unique sites:
Ni (0.000, 0.000, 0.000)
Bi (0.057, 0.250, 0.490)
O (0.022, 0.750, 0.080)
O (0.207, 0.538, 0.704)

## Properties
- raw formation energy (eV/atom) = -1.14
- spin magnetization (μB per atom) = 0.20
- crystal system = orthorhombic
- ρ (g/cm3) = 9.57

A plane-wave DFT calculation with meta-GGA SCAN was carried out for a crystal of CdIn3Au relaxed with PBEsol.

Unit cell a=5.317 b=5.317 c=5.317 alpha=90.00 beta=90.00 gamma=90.00
Space group Pm-3m (No. 221)
Unique sites:
Cd (0.000, 0.000, 0.000)
In (0.000, 0.000, 0.500)
Au (0.500, 0.500, 0.500)

## Properties
- energy relative to the elements (meV per atom) = 491
- spin magnetization (μB per atom) = 0.00
- crystal system = cubic
- ρ (g/cm3) = 7.22

A plane-wave DFT calculation with meta-GGA SCAN was carried out for a crystal of ScRh3 relaxed with PBEsol.

Unit cell a=3.897 b=3.897 c=7.687 alpha=90.00 beta=90.00 gamma=90.00
Space group I4/mmm (No. 139)
Unique sites:
Sc (0.000, 0.000, 0.000)
Rh (0.000, 0.000, 0.500)
Rh (0.000, 0.500, 0.250)

## Properties
- energy relative to the elements (meV per atom) = -577
- spin magnetization (μB per atom) = 0.00
- crystal system = tetragonal
- ρ (g/cm3) = 10.06

A plane-wave DFT calculation with meta-GGA SCAN was carried out for a crystal of CaCr2Pt relaxed with PBEsol.

Unit cell a=6.492 b=6.492 c=6.492 alpha=90.00 beta=90.00 gamma=90.00
Space group Fm-3m (No. 225)
Unique sites:
Ca (0.000, 0.000, 0.000)
Cr (0.250, 0.250, 0.250)
Pt (0.000, 0.000, 0.500)

## Properties
- energy relative to the elements (meV per atom) = 37
- spin magnetization (μB per atom) = 2.24
- crystal system = cubic
- ρ (g/cm3) = 8.23

A plane-wave DFT calculation with meta-GGA SCAN was carried out for a crystal of LaAgGe3 relaxed with PBEsol.

Unit cell a=5.503 b=5.503 c=5.503 alpha=90.00 beta=90.00 gamma=90.00
Space group Pm-3m (No. 221)
Unique sites:
La (0.000, 0.000, 0.000)
Ag (0.500, 0.500, 0.500)
Ge (0.000, 0.000, 0.500)

## Properties
- energy relative to the elements (meV per atom) = 1182
- spin magnetization (μB per atom) = 0.00
- crystal system = cubic
- ρ (g/cm3) = 4.63

A plane-wave DFT calculation with meta-GGA SCAN was carried out for a crystal of Li3Fe4P6O24 relaxed with PBEsol.

Unit cell a=6.080 b=8.270 c=9.130 alpha=103.87 beta=106.35 gamma=102.94
Space group P-1 (No. 2)
Unique sites:
Li (0.000, 0.000, 0.000)
Li (0.235, 0.810, 0.192)
Fe (0.068, 0.760, 0.542)
Fe (0.375, 0.460, 0.121)
P (0.123, 0.625, 0.846)
P (0.231, 0.173, 0.773)
P (0.388, 0.225, 0.360)
O (0.011, 0.208, 0.660)
O (0.090, 0.607, 0.667)
O (0.103, 0.507, 0.150)
O (0.176, 0.806, 0.955)
O (0.208, 0.978, 0.710)
O (0.212, 0.222, 0.943)
O (0.242, 0.265, 0.473)
O (0.262, 0.052, 0.230)
O (0.325, 0.540, 0.907)
O (0.361, 0.759, 0.520)
O (0.433, 0.379, 0.292)
O (0.476, 0.280, 0.777)

## Properties
- raw formation energy (eV/atom) = -2.14
- spin magnetization (μB per atom) = 0.46
- crystal system = triclinic
- ρ (g/cm3) = 3.33

A plane-wave DFT calculation with meta-GGA SCAN was carried out for a crystal of ZnHg3Br relaxed with PBEsol.

Unit cell a=5.128 b=5.128 c=5.128 alpha=90.00 beta=90.00 gamma=90.00
Space group Pm-3m (No. 221)
Unique sites:
Zn (0.000, 0.000, 0.000)
Hg (0.000, 0.000, 0.500)
Br (0.500, 0.500, 0.500)

## Properties
- raw formation energy (eV/atom) = -0.12
- spin magnetization (μB per atom) = 0.00
- crystal system = cubic
- ρ (g/cm3) = 9.20

A plane-wave DFT calculation with meta-GGA SCAN was carried out for a crystal of ZnSi2Br relaxed with PBEsol.

Unit cell a=6.575 b=6.575 c=6.575 alpha=90.00 beta=90.00 gamma=90.00
Space group Fm-3m (No. 225)
Unique sites:
Zn (0.000, 0.000, 0.000)
Si (0.250, 0.250, 0.250)
Br (0.000, 0.000, 0.500)

## Properties
- raw formation energy (eV/atom) = 0.95
- polymorph energy (0 for the lowest one) (meV/atom) = 860
- spin magnetization (μB per atom) = 0.00
- crystal system = cubic
- ρ (g/cm3) = 4.71

A plane-wave DFT calculation with meta-GGA SCAN was carried out for a crystal of Cs2Rb2Na relaxed with PBEsol.

Unit cell a=10.564 b=10.564 c=7.721 alpha=90.00 beta=90.00 gamma=90.00
Space group P4/mbm (No. 127)
Unique sites:
Cs (0.177, 0.323, 0.000)
Rb (0.148, 0.648, 0.500)
Na (0.000, 0.000, 0.500)

## Properties
- energy relative to the elements (meV per atom) = 52
- spin magnetization (μB per atom) = 0.01
- crystal system = tetragonal
- ρ (g/cm3) = 1.77

A plane-wave DFT calculation with meta-GGA SCAN was carried out for a crystal of Ca5Nb4Co2O18 relaxed with PBEsol.

Unit cell a=9.365 b=5.354 c=16.319 alpha=90.00 beta=124.62 gamma=90.00
Space group Pc (No. 7)
Unique sites:
Ca (0.000, 0.234, 0.000)
Ca (0.108, 0.257, 0.801)
Ca (0.327, 0.246, 0.661)
Ca (0.444, 0.258, 0.474)
Ca (0.769, 0.263, 0.135)
Nb (0.047, 0.259, 0.406)
Nb (0.221, 0.247, 0.231)
Nb (0.571, 0.250, 0.908)
Nb (0.709, 0.240, 0.727)
Co (0.384, 0.247, 0.065)
Co (0.887, 0.252, 0.569)
O (0.011, 0.464, 0.149)
O (0.089, 0.052, 0.650)
O (0.154, 0.171, 0.326)
O (0.209, 0.452, 0.960)
O (0.236, 0.037, 0.513)
O (0.289, 0.320, 0.139)
O (0.346, 0.460, 0.818)
O (0.422, 0.030, 0.316)
O (0.476, 0.176, 0.989)
O (0.535, 0.471, 0.622)
O (0.556, 0.037, 0.165)
O (0.626, 0.325, 0.811)
O (0.689, 0.459, 0.494)
O (0.768, 0.037, 0.994)
O (0.818, 0.173, 0.654)
O (0.882, 0.458, 0.287)
O (0.911, 0.059, 0.845)
O (0.963, 0.323, 0.486)

## Properties
- raw formation energy (eV/atom) = -2.80
- spin magnetization (μB per atom) = 0.01
- crystal system = monoclinic
- ρ (g/cm3) = 4.82

A plane-wave DFT calculation with meta-GGA SCAN was carried out for a crystal of CoPb2W relaxed with PBEsol.

Unit cell a=3.1470 b=3.1470 c=25.6063 alpha=90.00 beta=90.00 gamma=120.00
Space group R-3m (No. 166, hexagonal axes)
Unique sites:
Co (0.0000, 0.0000, 0.0000)
Pb (0.0000, 0.0000, 0.2575)
W (0.0000, 0.0000, 0.5000)

## Properties
- polymorph energy (0 for the lowest one) (meV/atom) = 0
- energy relative to the elements (meV per atom) = 994
- spin magnetization (μB per atom) = 0.41
- crystal system = trigonal
- ρ (g/cm3) = 14.91